# 1
The following is a DFT calculation (PBE-GGA) of a relaxed BeInSn2 crystal.

Cell lengths 5.3148, 5.3148, 15.3206 Å; angles 90.00, 90.00, 90.00 degrees
Closest atoms and distances in Å follow each position.
Space group I-42d (No. 122)
Symmetry-distinct sites (fractional):
Be1 0.0000 0.0000 0.0000 (multiplicity 4)  4 Sn 2.49
In1 0.0000 0.0000 0.5000 (multiplicity 4)  4 Sn 2.93
Sn1 0.1647 0.2500 0.1250 (multiplicity 8)  2 Be 2.49

***

# 2
The following is a DFT calculation (PBE-GGA) of a relaxed BeInSn2 crystal.

Cell lengths 7.2131, 7.2131, 7.2131 Å; angles 90.00, 90.00, 90.00 degrees
Closest atoms and distances in Å follow each position.
Space group Fm-3m (No. 225)
Symmetry-distinct sites (fractional):
Be1 0.0000 0.0000 0.0000 (multiplicity 4)  8 Sn 3.12
In1 0.0000 0.0000 0.5000 (multiplicity 4)  8 Sn 3.12
Sn1 0.2500 0.2500 0.2500 (multiplicity 8)  4 In 3.12, 4 Be 3.12

***

# 3
The following is a DFT calculation (PBE-GGA) of a relaxed Be3InSn crystal.

Cell lengths 4.7014, 4.7014, 4.7014 Å; angles 90.00, 90.00, 90.00 degrees
Closest atoms and distances in Å follow each position.
Space group Pm-3m (No. 221)
Symmetry-distinct sites (fractional):
Be1 0.0000 0.0000 0.5000 (multiplicity 3)  2 Sn 2.35
In1 0.5000 0.5000 0.5000 (multiplicity 1)  12 Be 3.32
Sn1 0.0000 0.0000 0.0000 (multiplicity 1)  6 Be 2.35

***

# 4
The following is a DFT calculation (PBE-GGA) of a relaxed Be3InSn crystal.

Cell lengths 4.6183, 4.6183, 4.6183 Å; angles 90.00, 90.00, 90.00 degrees
Closest atoms and distances in Å follow each position.
Space group Pm-3m (No. 221)
Symmetry-distinct sites (fractional):
Be1 0.0000 0.0000 0.5000 (multiplicity 3)  2 In 2.31
In1 0.0000 0.0000 0.0000 (multiplicity 1)  6 Be 2.31
Sn1 0.5000 0.5000 0.5000 (multiplicity 1)  12 Be 3.27

***

# 5
The following is a DFT calculation (PBE-GGA) of a relaxed Be2InSn2 crystal.

Cell lengths 8.1368, 8.1368, 3.1082 Å; angles 90.00, 90.00, 90.00 degrees
Closest atoms and distances in Å follow each position.
Space group P4/mbm (No. 127)
Symmetry-distinct sites (fractional):
Be1 0.1041 0.3959 0.0000 (multiplicity 4)  1 Be 2.39
In1 0.0000 0.0000 0.5000 (multiplicity 2)  4 Sn 3.02, 2 In 3.11
Sn1 0.1694 0.6694 0.5000 (multiplicity 4)  6 Be 2.77-3.03, 2 In 3.02

***

# 6
The following is a DFT calculation (PBE-GGA) of a relaxed Be2InSn crystal.

Cell lengths 6.9208, 6.9208, 6.5364 Å; angles 90.00, 90.00, 90.00 degrees
Closest atoms and distances in Å follow each position.
Space group I-42d (No. 122)
Symmetry-distinct sites (fractional):
Be1 0.2432 0.2500 0.1250 (multiplicity 8)  2 Sn 2.55, 2 In 2.61
In1 0.0000 0.0000 0.5000 (multiplicity 4)  4 Be 2.61
Sn1 0.0000 0.0000 0.0000 (multiplicity 4)  4 Be 2.55

***

no.,E above lowest polymorph (meV/atom),final energy (eV/atom)
1,0.0,-3.3091
2,171.0,-3.1381
3,0.0,-2.4810
4,11.5,-2.4695
5,129.8,-3.1132
6,44.6,-2.8416